1.
VASP calculation (PBE) on a relaxed NbCrHgCl2 crystal.

Structure (POSCAR):
```
NbCrHgCl2
1.0
4.751 0.000 0.000
0.000 4.751 0.000
0.000 0.000 5.851
Nb Cr Hg Cl
1 1 1 2
direct
0.000 0.000 0.000 Nb
0.500 0.500 0.500 Cr
0.000 0.000 0.500 Hg
0.000 0.500 0.000 Cl
0.500 0.000 0.000 Cl
```

Summary:
* space group: P4/mmm
* raw formation energy: 268.1 meV/atom

***

2.
VASP calculation (PBE) on a relaxed MgSc2Tc crystal.

Structure (POSCAR):
```
MgSc2Tc
1.0
2.955 0.000 0.000
0.000 4.472 0.000
0.000 0.000 5.931
Mg Sc Tc
1 2 1
direct
0.000 0.000 0.000 Mg
0.000 0.000 0.537 Sc
0.500 0.500 0.257 Sc
0.500 0.500 0.738 Tc
```

Summary:
* space group: Pmm2
* DFT formation energy: 104 meV/atom

***

3.
VASP calculation (PBE) on a relaxed Ac2CeYP4 crystal.

Structure (POSCAR):
```
Ac2CeYP4
1.0
7.334 0.000 0.000
0.000 4.246 0.000
-2.447 0.000 6.964
Ac Ce Y P
2 1 1 4
direct
0.000 0.000 0.000 Ac
0.500 0.500 0.000 Ac
0.000 0.500 0.500 Ce
0.500 0.000 0.500 Y
0.243 0.000 0.727 P
0.258 0.500 0.273 P
0.742 0.500 0.727 P
0.757 0.000 0.273 P
```

Summary:
* space group: P2/m
* DFT formation energy: -1483 meV/atom

***

4.
VASP calculation (PBE) on a relaxed Ac2BeCuO5 crystal.

Structure (POSCAR):
```
Ac2BeCuO5
1.0
7.272 0.000 0.000
0.000 7.272 0.000
0.000 0.000 5.496
Ac Be Cu O
4 2 2 10
direct
0.182 0.318 0.000 Ac
0.318 0.818 0.000 Ac
0.682 0.182 0.000 Ac
0.818 0.682 0.000 Ac
0.000 0.000 0.500 Be
0.500 0.500 0.500 Be
0.000 0.500 0.500 Cu
0.500 0.000 0.500 Cu
0.000 0.000 0.000 O
0.125 0.625 0.261 O
0.125 0.625 0.739 O
0.375 0.125 0.261 O
0.375 0.125 0.739 O
0.500 0.500 0.000 O
0.625 0.875 0.261 O
0.625 0.875 0.739 O
0.875 0.375 0.261 O
0.875 0.375 0.739 O
```

Summary:
* space group: P4/mbm
* raw formation energy: -1676.2 meV/atom

***

5.
VASP calculation (PBE) on a relaxed Nd2SmAs3 crystal.

Structure (POSCAR):
```
Nd2SmAs3
1.0
-2.129 3.006 6.378
2.129 -3.006 6.378
2.129 3.006 -6.378
Nd Sm As
2 1 3
direct
0.167 0.167 0.000 Nd
0.833 0.833 0.000 Nd
0.500 0.500 0.000 Sm
0.000 0.500 0.500 As
0.335 0.835 0.500 As
0.665 0.165 0.500 As
```

Summary:
* space group: Immm
* DFT formation energy: -1517 meV/atom

***

6.
VASP calculation (PBE) on a relaxed K2PW crystal.

Structure (POSCAR):
```
K2PW
1.0
-1.913 1.913 5.706
1.913 -1.913 5.706
1.913 1.913 -5.706
K P W
2 1 1
direct
0.250 0.750 0.500 K
0.750 0.250 0.500 K
0.000 0.000 0.000 P
0.500 0.500 0.000 W
```

Summary:
* space group: I4/mmm
* DFT formation energy: 1123 meV/atom

***

7.
VASP calculation (PBE) on a relaxed Cs2HgPd2 crystal.

Structure (POSCAR):
```
Cs2HgPd2
1.0
-3.407 3.407 4.021
3.407 -3.407 4.021
3.407 3.407 -4.021
Cs Hg Pd
2 1 2
direct
0.250 0.750 0.500 Cs
0.750 0.250 0.500 Cs
0.000 0.000 0.000 Hg
0.335 0.335 0.000 Pd
0.665 0.665 0.000 Pd
```

Summary:
* space group: I4/mmm
* DFT formation energy: 59 meV/atom

***

8.
VASP calculation (PBE) on a relaxed BeCoCu3 crystal.

Structure (POSCAR):
```
BeCoCu3
1.0
4.347 0.000 0.000
0.000 4.347 0.000
0.000 0.000 4.347
Be Co Cu
1 1 3
direct
0.000 0.000 0.000 Be
0.500 0.500 0.500 Co
0.000 0.500 0.500 Cu
0.500 0.000 0.500 Cu
0.500 0.500 0.000 Cu
```

Summary:
* space group: Pm-3m
* DFT formation energy: 1281 meV/atom

***

Computed size of the total moment (μB/cell) in order:
5.23; 0.00; 0.51; 0.00; 0.00; 0.00; 0.00; 1.82